# 1
Here is a relaxed structure of LiDyCd from Alexandria via LeMat-Bulk. Energies are from PBE.

abc: 3.754 3.754 9.978
angles: 90.00 90.00 90.00
Space group I4mm (No. 107)
Asymmetric unit:
Li1 0.000 0.000 0.000 [2 per cell]
Dy1 0.000 0.000 0.314 [2 per cell]
Cd1 0.000 0.000 0.634 [2 per cell]

Results
For the magnetization, the calculation gives 0.155 μB per formula unit. The value obtained for the density of states at the Fermi level is 1.4 states/eV/f.u. As for the energy relative to the elements: -0.129 eV per atom. As for the density: 6657 kg/m3.


# 2
Here is a relaxed structure of PmNdPdAu from Alexandria via LeMat-Bulk. Energies are from PBE.

abc: 7.324 7.324 7.324
angles: 90.00 90.00 90.00
Space group F-43m (No. 216)
Asymmetric unit:
Pm1 0.000 0.000 0.000 [4 per cell]
Nd1 0.000 0.000 0.500 [4 per cell]
Pd1 0.250 0.250 0.750 [4 per cell]
Au1 0.250 0.250 0.250 [4 per cell]

Results
For the magnetization, the calculation gives 0.000 μB per formula unit. The value obtained for the density of states at the Fermi level is 2.9 states/eV/f.u. As for the energy relative to the elements: -0.754 eV per atom. As for the density: 10020 kg/m3.


# 3
Here is a relaxed structure of Hf2Tl2CrS6 from Alexandria via LeMat-Bulk. Energies are from PBE.

abc: 6.249 10.820 8.099
angles: 90.00 105.12 90.00
Space group C2/m (No. 12)
Asymmetric unit:
Hf1 0.000 0.168 0.000 [4 per cell]
Tl1 0.000 0.332 0.500 [4 per cell]
Cr1 0.000 0.500 0.000 [2 per cell]
S1 0.227 0.338 0.185 [8 per cell]
S2 0.240 0.000 0.181 [4 per cell]

Results
For the magnetization, the calculation gives 3.196 μB per formula unit. The value obtained for the density of states at the Fermi level is 4.8 states/eV/f.u. As for the density: 6346 kg/m3. Its raw formation energy is -1.075 eV/atom.


# 4
Here is a relaxed structure of Rb2PaI2Cl4 from Alexandria via LeMat-Bulk. Energies are from PBE.

abc: 7.853 7.853 11.750
angles: 90.00 90.00 90.00
Space group I4/mmm (No. 139)
Asymmetric unit:
Rb1 0.000 0.500 0.250 [4 per cell]
Pa1 0.000 0.000 0.000 [2 per cell]
I1 0.000 0.000 0.262 [4 per cell]
Cl1 0.236 0.236 0.000 [8 per cell]

Results
For the magnetization, the calculation gives 1.007 μB per formula unit. As for the density: 3656 kg/m3. Its raw formation energy is -1.725 eV/atom.


For each record above, in turn, the calculated E_tot values are -2.606, -5.251, -6.441, -4.161 eV per atom.